Crystalline NaTe2RhN at its relaxed geometry, computed with PBEsol.

Values from the calculation:
Uncorrected formation energy ... 8.1 eV/f.u.
N(E_F) ... 4.98 states/eV/cell
Size of the total moment ... 2.2 μB/cell

a b c (Å): 5.2574 5.2574 3.9084
angles (deg): 90.00 90.00 90.00
Space group P4/mmm (No. 123)
Inequivalent atoms, fractional coordinates:
Na: 0.0000 0.0000 0.0000 [1 per cell]
Te: 0.0000 0.5000 0.0000 [2 per cell]
Rh: 0.5000 0.5000 0.5000 [1 per cell]
N: 0.0000 0.0000 0.5000 [1 per cell]

=====

Crystalline NaSeS2N at its relaxed geometry, computed with PBEsol.

Values from the calculation:
Uncorrected formation energy ... 2.8 eV/f.u.
N(E_F) ... 2.79 states/eV/cell
Size of the total moment ... 1.5 μB/cell

a b c (Å): 4.8834 4.8834 3.8474
angles (deg): 90.00 90.00 90.00
Space group P4/mmm (No. 123)
Inequivalent atoms, fractional coordinates:
Na: 0.0000 0.0000 0.0000 [1 per cell]
Se: 0.5000 0.5000 0.5000 [1 per cell]
S: 0.0000 0.5000 0.5000 [2 per cell]
N: 0.5000 0.5000 0.0000 [1 per cell]

=====

Crystalline NaSnSN2 at its relaxed geometry, computed with PBEsol.

Values from the calculation:
Uncorrected formation energy ... 3.7 eV/f.u.
N(E_F) ... 1.17 states/eV/cell
Size of the total moment ... 3.0 μB/cell

a b c (Å): 4.1927 4.1927 5.1385
angles (deg): 90.00 90.00 90.00
Space group P4/mmm (No. 123)
Inequivalent atoms, fractional coordinates:
Na: 0.0000 0.0000 0.0000 [1 per cell]
Sn: 0.5000 0.5000 0.5000 [1 per cell]
S: 0.5000 0.5000 0.0000 [1 per cell]
N: 0.0000 0.5000 0.5000 [2 per cell]

=====

Crystalline NaTeSN2 at its relaxed geometry, computed with PBEsol.

Values from the calculation:
Uncorrected formation energy ... 9.6 eV/f.u.
N(E_F) ... 3.82 states/eV/cell
Size of the total moment ... 4.7 μB/cell

a b c (Å): 4.2642 4.2642 5.1057
angles (deg): 90.00 90.00 90.00
Space group P4/mmm (No. 123)
Inequivalent atoms, fractional coordinates:
Na: 0.0000 0.0000 0.0000 [1 per cell]
Te: 0.5000 0.5000 0.5000 [1 per cell]
S: 0.0000 0.0000 0.5000 [1 per cell]
N: 0.0000 0.5000 0.0000 [2 per cell]

=====

Crystalline NaTiSN2 at its relaxed geometry, computed with PBEsol.

Values from the calculation:
Energy above the most stable polymorph in this dataset ... 0 meV/atom
Uncorrected formation energy ... -0.5 eV/f.u.
N(E_F) ... 2.77 states/eV/cell
Size of the total moment ... 2.4 μB/cell

a b c (Å): 3.9652 3.9652 4.7939
angles (deg): 90.00 90.00 90.00
Space group P4/mmm (No. 123)
Inequivalent atoms, fractional coordinates:
Na: 0.0000 0.0000 0.0000 [1 per cell]
Ti: 0.5000 0.5000 0.5000 [1 per cell]
S: 0.5000 0.5000 0.0000 [1 per cell]
N: 0.0000 0.5000 0.5000 [2 per cell]

=====

Crystalline NaTiSN2 at its relaxed geometry, computed with PBEsol.

Values from the calculation:
Energy above the most stable polymorph in this dataset ... 1752 meV/atom
Uncorrected formation energy ... 8.2 eV/f.u.
N(E_F) ... 3.82 states/eV/cell
Size of the total moment ... 2.8 μB/cell

a b c (Å): 3.9903 3.9903 4.7375
angles (deg): 90.00 90.00 90.00
Space group P4/mmm (No. 123)
Inequivalent atoms, fractional coordinates:
Na: 0.0000 0.0000 0.0000 [1 per cell]
Ti: 0.5000 0.5000 0.5000 [1 per cell]
S: 0.0000 0.0000 0.5000 [1 per cell]
N: 0.0000 0.5000 0.0000 [2 per cell]

=====

Crystalline Na2ZrSN at its relaxed geometry, computed with PBEsol.

Values from the calculation:
Uncorrected formation energy ... 5.2 eV/f.u.
N(E_F) ... 5.88 states/eV/cell
Size of the total moment ... 0.0 μB/cell

a b c (Å): 5.9671 5.9671 3.3623
angles (deg): 90.00 90.00 90.00
Space group P4/mmm (No. 123)
Inequivalent atoms, fractional coordinates:
Na: 0.0000 0.5000 0.0000 [2 per cell]
Zr: 0.0000 0.0000 0.5000 [1 per cell]
S: 0.5000 0.5000 0.0000 [1 per cell]
N: 0.5000 0.5000 0.5000 [1 per cell]

=====

Crystalline NaSb2N at its relaxed geometry, computed with PBEsol.

Values from the calculation:
Uncorrected formation energy ... 1.3 eV/f.u.
N(E_F) ... 5.75 states/eV/cell
Size of the total moment ... 0.0 μB/cell

a b c (Å): 7.0660 7.0660 7.2035
angles (deg): 90.00 90.00 90.00
Space group I-42d (No. 122)
Inequivalent atoms, fractional coordinates:
Na: 0.0000 0.0000 0.0000 [4 per cell]
Sb: 0.1443 0.7500 0.6250 [8 per cell]
N: 0.0000 0.0000 0.5000 [4 per cell]

=====

Crystalline NaSb2TeN at its relaxed geometry, computed with PBEsol.

Values from the calculation:
Uncorrected formation energy ... 8.6 eV/f.u.
N(E_F) ... 3.52 states/eV/cell
Size of the total moment ... 2.8 μB/cell

a b c (Å): 5.3355 5.3355 5.3718
angles (deg): 90.00 90.00 90.00
Space group P4/mmm (No. 123)
Inequivalent atoms, fractional coordinates:
Na: 0.0000 0.0000 0.0000 [1 per cell]
Sb: 0.0000 0.5000 0.0000 [2 per cell]
Te: 0.0000 0.0000 0.5000 [1 per cell]
N: 0.5000 0.5000 0.5000 [1 per cell]

=====

Crystalline NaSbTe2N at its relaxed geometry, computed with PBEsol.

Values from the calculation:
Uncorrected formation energy ... 5.5 eV/f.u.
N(E_F) ... 3.19 states/eV/cell
Size of the total moment ... 2.7 μB/cell

a b c (Å): 5.5197 5.5197 4.1987
angles (deg): 90.00 90.00 90.00
Space group P4/mmm (No. 123)
Inequivalent atoms, fractional coordinates:
Na: 0.0000 0.0000 0.0000 [1 per cell]
Sb: 0.5000 0.5000 0.5000 [1 per cell]
Te: 0.0000 0.5000 0.0000 [2 per cell]
N: 0.0000 0.0000 0.5000 [1 per cell]

=====

Crystalline Na3ScN at its relaxed geometry, computed with PBEsol.

Values from the calculation:
Uncorrected formation energy ... 3.5 eV/f.u.
N(E_F) ... 3.22 states/eV/cell
Size of the total moment ... 1.1 μB/cell

a b c (Å): 4.8075 4.8075 4.8075
angles (deg): 90.00 90.00 90.00
Space group Pm-3m (No. 221)
Inequivalent atoms, fractional coordinates:
Na: 0.0000 0.0000 0.5000 [3 per cell]
Sc: 0.5000 0.5000 0.5000 [1 per cell]
N: 0.0000 0.0000 0.0000 [1 per cell]

=====

Crystalline NaScN2 at its relaxed geometry, computed with PBEsol.

Values from the calculation:
Uncorrected formation energy ... -0.2 eV/f.u.
N(E_F) ... 2.16 states/eV/cell
Size of the total moment ... 0.0 μB/cell

a b c (Å): 4.5897 4.5897 12.9394
angles (deg): 90.00 90.00 90.00
Space group I-42d (No. 122)
Inequivalent atoms, fractional coordinates:
Na: 0.0000 0.0000 0.0000 [4 per cell]
Sc: 0.0000 0.0000 0.5000 [4 per cell]
N: 0.0954 0.2500 0.6250 [8 per cell]